# DyBiRh3, relaxed, DFT GGA-PBE
data_DyBiRh3
_chemical_formula_sum 'Dy4 Bi4 Rh12'
_cell_length_a 5.8673
_cell_length_b 11.5860
_cell_length_c 6.5898
_cell_angle_alpha 90.00
_cell_angle_beta 90.00
_cell_angle_gamma 90.00
_symmetry_space_group_name_H-M 'I m m a'
_symmetry_Int_Tables_number 74
_symmetry_space_group_name_Hall '-I 2b 2'
loop_
_atom_site_label
_atom_site_type_symbol
_atom_site_fract_x
_atom_site_fract_y
_atom_site_fract_z
Dy1 Dy 0.0000 0.2500 0.0548
Bi1 Bi 0.0000 0.0000 0.5000
Rh1 Rh 0.0000 0.2500 0.4710
Rh2 Rh 0.2500 0.1316 0.7500
# Formation enthalpy at 0 K: -0.253 eV/atom
# Density of states at the Fermi level: 4.106 states/eV/f.u.

***

# TmPuTlZn, relaxed, DFT GGA-PBE
data_TmPuTlZn
_chemical_formula_sum 'Tm4 Pu4 Tl4 Zn4'
_cell_length_a 7.3827
_cell_length_b 7.3827
_cell_length_c 7.3827
_cell_angle_alpha 90.00
_cell_angle_beta 90.00
_cell_angle_gamma 90.00
_symmetry_space_group_name_H-M 'F -4 3 m'
_symmetry_Int_Tables_number 216
_symmetry_space_group_name_Hall 'F -4 2 3'
loop_
_atom_site_label
_atom_site_type_symbol
_atom_site_fract_x
_atom_site_fract_y
_atom_site_fract_z
Tm1 Tm 0.0000 0.0000 0.0000
Pu1 Pu 0.0000 0.0000 0.5000
Tl1 Tl 0.2500 0.2500 0.2500
Zn1 Zn 0.2500 0.2500 0.7500
# Formation enthalpy at 0 K: -0.129 eV/atom
# Density of states at the Fermi level: 8.097 states/eV/f.u.

***

# AcNd3Er4, relaxed, DFT GGA-PBE
data_AcNd3Er4
_chemical_formula_sum 'Ac2 Nd6 Er8'
_cell_length_a 3.4871
_cell_length_b 11.7958
_cell_length_c 13.3278
_cell_angle_alpha 90.00
_cell_angle_beta 90.00
_cell_angle_gamma 90.00
_symmetry_space_group_name_H-M 'I m m m'
_symmetry_Int_Tables_number 71
_symmetry_space_group_name_Hall '-I 2 2'
loop_
_atom_site_label
_atom_site_type_symbol
_atom_site_fract_x
_atom_site_fract_y
_atom_site_fract_z
Ac1 Ac 0.0000 0.0000 0.0000
Nd1 Nd 0.0000 0.0000 0.5000
Nd2 Nd 0.0000 0.5000 0.2561
Er1 Er 0.0000 0.2532 0.1367
# Formation enthalpy at 0 K: 0.163 eV/atom
# Density of states at the Fermi level: 13.593 states/eV/f.u.

***

# Ho2Al2Hg, relaxed, DFT GGA-PBE
data_Ho2Al2Hg
_chemical_formula_sum 'Ho8 Al8 Hg4'
_cell_length_a 10.8865
_cell_length_b 4.5460
_cell_length_c 10.5487
_cell_angle_alpha 90.00
_cell_angle_beta 116.68
_cell_angle_gamma 90.00
_symmetry_space_group_name_H-M 'C 1 2/m 1'
_symmetry_Int_Tables_number 12
loop_
_symmetry_equiv_pos_as_xyz
'x,y,z'
'-x,-y,-z'
'-x,y,-z'
'x,-y,z'
'x+1/2,y+1/2,z'
'-x+1/2,-y+1/2,-z'
'-x+1/2,y+1/2,-z'
'x+1/2,-y+1/2,z'
loop_
_atom_site_label
_atom_site_type_symbol
_atom_site_fract_x
_atom_site_fract_y
_atom_site_fract_z
Ho1 Ho 0.0091 0.0000 0.3252
Ho2 Ho 0.1790 0.0000 0.0935
Al1 Al 0.0256 0.5000 0.8872
Al2 Al 0.1351 0.5000 0.5644
Hg1 Hg 0.2246 0.5000 0.3400
# Formation enthalpy at 0 K: -0.430 eV/atom
# Density of states at the Fermi level: 3.550 states/eV/f.u.

***

# Na2HfV, relaxed, DFT GGA-PBE
data_Na2HfV
_chemical_formula_sum 'Na8 Hf4 V4'
_cell_length_a 7.1885
_cell_length_b 7.1885
_cell_length_c 7.1885
_cell_angle_alpha 90.00
_cell_angle_beta 90.00
_cell_angle_gamma 90.00
_symmetry_space_group_name_H-M 'F m -3 m'
_symmetry_Int_Tables_number 225
_symmetry_space_group_name_Hall '-F 4 2 3'
loop_
_atom_site_label
_atom_site_type_symbol
_atom_site_fract_x
_atom_site_fract_y
_atom_site_fract_z
Na1 Na 0.2500 0.2500 0.2500
Hf1 Hf 0.0000 0.0000 0.0000
V1 V 0.0000 0.0000 0.5000
# Formation enthalpy at 0 K: 1.285 eV/atom
# Density of states at the Fermi level: 5.758 states/eV/f.u.
# Relative energy among the computed polymorphs: 57 meV/atom

***

# Tb4ScAl, relaxed, DFT GGA-PBE
data_Tb4ScAl
_chemical_formula_sum 'Tb16 Sc4 Al4'
_cell_length_a 8.6852
_cell_length_b 13.7537
_cell_length_c 6.1092
_cell_angle_alpha 90.00
_cell_angle_beta 108.97
_cell_angle_gamma 90.00
_symmetry_space_group_name_H-M 'C 1 2/c 1'
_symmetry_Int_Tables_number 15
loop_
_symmetry_equiv_pos_as_xyz
'x,y,z'
'-x,-y,-z'
'-x,y,-z+1/2'
'x,-y,z+1/2'
'x+1/2,y+1/2,z'
'-x+1/2,-y+1/2,-z'
'-x+1/2,y+1/2,-z+1/2'
'x+1/2,-y+1/2,z+1/2'
loop_
_atom_site_label
_atom_site_type_symbol
_atom_site_fract_x
_atom_site_fract_y
_atom_site_fract_z
Tb1 Tb 0.1006 0.1859 0.0480
Tb2 Tb 0.2118 0.3933 0.3728
Sc1 Sc 0.0000 0.4027 0.7500
Al1 Al 0.0000 0.0003 0.2500
# Formation enthalpy at 0 K: -0.016 eV/atom
# Density of states at the Fermi level: 9.092 states/eV/f.u.
# Relative energy among the computed polymorphs: 0 meV/atom

***

> density of states at the Fermi level of number 5 (Na2HfV)?

5.758 states/eV/f.u.

***

> formation enthalpy at 0 K of number 1 (DyBiRh3)?

-0.253 eV/atom